Record 1
DFT (PBE) results for HoGeBr after structural relaxation. Values from VASP.

As for the crystal system: monoclinic. The uncorrected formation energy comes out at -1.0532 eV per atom.

Structure (Quantum ESPRESSO input):
```
&SYSTEM
  ibrav = 0, nat = 12, ntyp = 3
/
ATOMIC_SPECIES
Ho 164.93 Ho.upf
Ge 72.64 Ge.upf
Br 79.90 Br.upf
ATOMIC_POSITIONS angstrom
Ho 3.527 0.000 0.732
Ho 3.204 0.000 4.759
Ho 19.140 0.000 3.070
Ho 18.817 0.000 7.096
Ge 5.502 0.000 2.937
Ge 5.258 0.000 6.824
Ge 17.085 0.000 1.004
Ge 16.842 0.000 4.891
Br 1.392 0.000 2.581
Br 9.116 0.000 1.292
Br 13.228 0.000 6.536
Br 20.951 0.000 5.247
CELL_PARAMETERS angstrom
11.489 -1.994 0.000
11.489 1.994 0.000
-0.635 0.000 7.828
```

---

Record 2
DFT (PBE) results for NaPt after structural relaxation. Values from VASP.

As for the crystal system: orthorhombic. The value obtained for the formation energy is 0.02 eV/atom.

Structure (Quantum ESPRESSO input):
```
&SYSTEM
  ibrav = 0, nat = 4, ntyp = 2
/
ATOMIC_SPECIES
Na 22.99 Na.upf
Pt 195.08 Pt.upf
ATOMIC_POSITIONS angstrom
Na 2.281 3.399 3.464
Na 2.281 -3.399 1.155
Pt 2.281 0.425 3.464
Pt 2.281 -0.425 1.155
CELL_PARAMETERS angstrom
2.281 -4.769 0.000
2.281 4.769 0.000
0.000 0.000 4.618
```

---

Record 3
DFT (PBE) results for ZrPd2I after structural relaxation. Values from VASP.

The value obtained for the energy above the most stable polymorph in this dataset is 0.42 eV/f.u. As for the crystal system: cubic. The uncorrected formation energy comes out at -0.0119 eV per atom.

Structure (Quantum ESPRESSO input):
```
&SYSTEM
  ibrav = 0, nat = 4, ntyp = 3
/
ATOMIC_SPECIES
Zr 91.22 Zr.upf
Pd 106.42 Pd.upf
I 126.90 I.upf
ATOMIC_POSITIONS angstrom
Zr 0.000 0.000 0.000
Pd 1.716 1.716 1.716
Pd 5.148 5.148 5.148
I 3.432 3.432 3.432
CELL_PARAMETERS angstrom
0.000 3.432 3.432
3.432 0.000 3.432
3.432 3.432 0.000
```

---

Record 4
DFT (PBE) results for TlZn2Cu after structural relaxation. Values from VASP.

The value obtained for the energy above the most stable polymorph in this dataset is 0.00 eV/f.u. As for the crystal system: tetragonal. The value obtained for the formation energy is 0.13 eV/atom.

Structure (Quantum ESPRESSO input):
```
&SYSTEM
  ibrav = 0, nat = 4, ntyp = 3
/
ATOMIC_SPECIES
Tl 204.38 Tl.upf
Zn 65.41 Zn.upf
Cu 63.55 Cu.upf
ATOMIC_POSITIONS angstrom
Tl 0.000 0.000 0.000
Zn 1.536 1.536 2.522
Zn 1.536 1.536 5.340
Cu 0.000 0.000 3.931
CELL_PARAMETERS angstrom
3.072 0.000 0.000
0.000 3.072 0.000
0.000 0.000 7.861
```

---

In order of appearance, density = 5.88 7.21 8.85 8.92 Mg/m³.